CeErAlAg, optimized geometry, DFT PBE-GGA; total moment = 1.126 μB per formula unit; electronic total energy = -4.4942 eV per atom; V = 98.9 Å³ per cell; density = 7.424 g/cm³; formation energy = -222 meV/atom
1.0
-1.6427 2.3589 -4.3224
-4.6388 2.3283 -0.0835
-0.3017 5.1792 -0.1758
Al Ag Ce Er
1 1 1 1
Cartesian
0.0000 0.0000 0.0000
-3.2916 4.9333 -2.2909
-4.9374 7.3999 -3.4363
-1.6458 2.4666 -1.1454

=====

CeAlAg2F8, optimized geometry, DFT PBE-GGA; total moment = 0.971 μB per formula unit; formation energy (no corrections) = -64.043 kcal/mol of atoms; electronic total energy = -5.3063 eV per atom; V = 191.7 Å³ per cell; density = 4.632 g/cm³
1.0
-2.4822 -4.1416 -1.1220
2.8735 -2.6507 4.0988
-4.8549 1.6914 4.4975
Ce Al Ag F
1 1 2 8
Cartesian
-2.4275 0.8457 2.2487
0.0000 0.0000 0.0000
-3.6199 -2.0669 5.0230
-0.8437 -3.0340 2.4512
1.0045 -2.4736 4.1302
0.5083 -5.0917 2.4635
-2.5933 -3.6289 0.6810
-5.4680 -2.6273 3.3441
-0.1169 -1.7006 0.5133
-1.8703 -1.4720 6.7933
-1.8947 -3.8029 4.5720
-2.5689 -1.2980 2.9023

=====

Ce2Al6GaAg, optimized geometry, DFT PBE-GGA; total moment = 2.243 μB per formula unit; electronic total energy = -4.0973 eV per atom; V = 432.9 Å³ per cell; density = 4.754 g/cm³; formation energy = -77 meV/atom
1.0
-4.6668 0.1334 4.5172
0.9333 -2.9309 5.7220
3.2942 9.0890 7.8060
Ce Al Ga Ag
4 12 2 2
Cartesian
-2.2573 0.4619 11.6680
1.8181 5.8296 6.3773
0.1227 5.7171 13.9716
-0.5620 0.5745 4.0736
-2.7446 2.8272 9.2713
0.6695 0.9591 10.0057
0.1005 2.7459 6.5173
2.3053 3.4643 8.7739
-1.1087 5.3325 8.0395
-0.5398 3.5457 11.5279
0.1812 7.5805 11.2288
2.4867 6.3189 11.7248
2.1025 7.5256 9.3691
-0.6204 -1.2889 6.8164
-2.9259 -0.0274 6.3205
-2.5417 -1.2340 8.6761
-1.2279 0.9194 8.0467
0.7887 5.3721 9.9985
0.0000 0.0000 0.0000
-0.2196 3.1458 9.0226

=====

Ce2Al3Ga4Ag, optimized geometry, DFT PBE-GGA; total moment = 1.937 μB per formula unit; electronic total energy = -4.1925 eV per atom; V = 201.2 Å³ per cell; density = 6.174 g/cm³; formation energy = -387 meV/atom
1.0
4.3157 0.0000 0.0000
0.0000 4.3157 0.0000
0.0000 0.0000 10.8000
Ce Al Ga Ag
2 3 4 1
Cartesian
2.1579 0.0000 2.6294
0.0000 2.1579 8.1706
0.0000 0.0000 5.4000
2.1579 0.0000 9.3621
0.0000 2.1579 1.4379
2.1579 2.1579 0.0000
0.0000 0.0000 0.0000
2.1579 0.0000 6.9060
0.0000 2.1579 3.8939
2.1579 2.1579 5.4000

=====

Ce2Al4Ga3Ag, optimized geometry, DFT PBE-GGA; total moment = 1.962 μB per formula unit; electronic total energy = -4.2647 eV per atom; V = 200.3 Å³ per cell; density = 5.846 g/cm³; formation energy = -388 meV/atom
1.0
4.2724 0.0000 0.0000
0.0000 4.2724 0.0000
0.0000 0.0000 10.9737
Ce Al Ga Ag
2 4 3 1
Cartesian
2.1362 0.0000 2.7228
0.0000 2.1362 8.2509
2.1362 2.1362 0.0000
0.0000 0.0000 0.0000
2.1362 0.0000 6.9631
0.0000 2.1362 4.0106
0.0000 0.0000 5.4869
2.1362 0.0000 9.4509
0.0000 2.1362 1.5229
2.1362 2.1362 5.4869

=====

Ce2Al4Ag3Hg, optimized geometry, DFT PBE-GGA; total moment = 1.639 μB per formula unit; electronic total energy = -3.8477 eV per atom; V = 212.2 Å³ per cell; density = 7.141 g/cm³; formation energy = -278 meV/atom
1.0
-3.4421 -1.8599 -2.0869
2.5958 -0.8984 -3.4809
2.5241 -9.5485 4.3467
Ce Al Ag Hg
2 4 3 1
Cartesian
-1.0971 -3.2902 0.0310
3.1981 -7.6375 1.5318
-0.4231 -1.3791 -2.7839
0.0000 0.0000 0.0000
-0.1032 -7.0501 1.7426
2.2042 -3.8775 -0.1798
1.2621 -4.7742 2.1733
0.4817 -9.2627 2.7498
1.6193 -1.6649 -1.1870
0.8389 -6.1534 -0.6106

=====

CeHoAlAg, optimized geometry, DFT PBE-GGA; total moment = 1.208 μB per formula unit; electronic total energy = -4.4952 eV per atom; V = 99.5 Å³ per cell; density = 7.341 g/cm³; formation energy = -219 meV/atom
1.0
5.2014 0.0000 0.0000
2.6007 4.5046 0.0000
2.6007 1.5015 4.2470
Ag Ho Ce Al
1 1 1 1
Cartesian
0.0000 0.0000 0.0000
7.8022 4.5046 3.1852
2.6007 1.5015 1.0617
5.2014 3.0031 2.1235

=====

LiCeAl2Ag4, optimized geometry, DFT PBE-GGA; total moment = 1.132 μB per formula unit; electronic total energy = -3.5426 eV per atom; V = 152.5 Å³ per cell; density = 6.886 g/cm³; formation energy = -200 meV/atom
1.0
-1.8193 3.5898 2.1054
-2.6601 -0.6046 3.6315
5.3446 1.4758 7.0011
Li Ce Al Ag
1 1 2 4
Cartesian
0.4326 2.2305 6.3690
0.0000 0.0000 0.0000
0.5299 3.3374 9.4649
0.3353 1.1236 3.2731
2.4673 2.3736 7.8832
-1.7509 3.1770 7.7675
2.6161 1.2840 4.9705
-1.6021 2.0874 4.8547

=====

LiCeAlAg, optimized geometry, DFT PBE-GGA; total moment = 0.869 μB per formula unit; electronic total energy = -3.7870 eV per atom; V = 82.0 Å³ per cell; density = 5.710 g/cm³; formation energy = -177 meV/atom
1.0
4.8762 0.0000 0.0000
2.4381 4.2229 0.0000
2.4381 1.4076 3.9814
Li Ag Ce Al
1 1 1 1
Cartesian
2.4381 1.4076 0.9953
7.3143 4.2229 2.9860
4.8762 2.8153 1.9907
0.0000 0.0000 0.0000

=====

CeLuAlAg, optimized geometry, DFT PBE-GGA; total moment = 0.850 μB per formula unit; electronic total energy = -4.4890 eV per atom; V = 97.3 Å³ per cell; density = 7.680 g/cm³; formation energy = -227 meV/atom
1.0
-1.4419 -1.9928 4.5387
3.5180 -2.1385 3.1146
1.3311 2.3592 4.3946
Lu Ag Ce Al
1 1 1 1
Cartesian
0.0000 0.0000 0.0000
2.5553 -1.3291 9.0359
1.7035 -0.8860 6.0240
0.8518 -0.4430 3.0120

=====

What did the fourth record say?
Ce2Al3Ga4Ag, optimized geometry, DFT PBE-GGA; total moment = 1.937 μB per formula unit; electronic total energy = -4.1925 eV per atom; V = 201.2 Å³ per cell; density = 6.174 g/cm³; formation energy = -387 meV/atom
1.0
4.3157 0.0000 0.0000
0.0000 4.3157 0.0000
0.0000 0.0000 10.8000
Ce Al Ga Ag
2 3 4 1
Cartesian
2.1579 0.0000 2.6294
0.0000 2.1579 8.1706
0.0000 0.0000 5.4000
2.1579 0.0000 9.3621
0.0000 2.1579 1.4379
2.1579 2.1579 0.0000
0.0000 0.0000 0.0000
2.1579 0.0000 6.9060
0.0000 2.1579 3.8939
2.1579 2.1579 5.4000